Compound: CrGeF
Source: Alexandria via LeMat-Bulk
Functional: PBE with a Hubbard U
Structure: optimized geometry

It has space group Amm2 (No. 38), with a = 13.998 Å, b = 3.102 Å, c = 5.253 Å, α = 90.00°, β = 90.00° and γ = 90.00°. The asymmetric unit holds Cr at (0.000, 0.000, 0.000), Cr at (0.500, 0.000, 0.333), Ge at (0.157, 0.000, 0.341) and F at (0.410, 0.000, 0.833).

For the calculated total energy, the calculation gives -5.5260 eV/atom.